The following is a DFT calculation (PBE-GGA) of a relaxed Sc2CdCo crystal.

E_tot = -40.9 eV for the cell shown
Crystal system = tetragonal
ρ = 5.42 g cm⁻³
Calculated formation energy = 64 meV per atom

Unit cell a=6.019 b=6.019 c=6.019 alpha=102.94 beta=102.94 gamma=123.51
Fractional coordinates of all 8 atoms:
Sc (0.061, 0.625, 0.936)
Sc (0.375, 0.311, 0.436)
Sc (0.689, 0.125, 0.064)
Sc (0.875, 0.939, 0.564)
Cd (0.250, 0.750, 0.500)
Cd (0.500, 0.500, 0.000)
Co (0.000, 0.000, 0.000)
Co (0.750, 0.250, 0.500)


The following is a DFT calculation (PBE-GGA) of a relaxed Li2IN crystal.

Excess energy over the best structure of this formula in the dataset = 6.88 kcal/mol of atoms
Raw formation energy = 321 meV/atom
E_tot = -12.4 eV for the cell shown
Crystal system = cubic
ρ = 3.60 g cm⁻³

Unit cell a=4.656 b=4.656 c=4.656 alpha=60.00 beta=60.00 gamma=60.00
Fractional coordinates of all 4 atoms:
Li (0.250, 0.250, 0.250)
Li (0.750, 0.750, 0.750)
I (0.000, 0.000, 0.000)
N (0.500, 0.500, 0.500)


The following is a DFT calculation (PBE-GGA) of a relaxed BeCr3Re crystal.

Excess energy over the best structure of this formula in the dataset = 0.00 kcal/mol of atoms
E_tot = -41.1 eV for the cell shown
Crystal system = cubic
ρ = 9.66 g cm⁻³
Calculated formation energy = 780 meV per atom

Unit cell a=3.922 b=3.922 c=3.922 alpha=90.00 beta=90.00 gamma=90.00
Fractional coordinates of all 5 atoms:
Be (0.000, 0.000, 0.000)
Cr (0.000, 0.000, 0.500)
Cr (0.000, 0.500, 0.000)
Cr (0.500, 0.000, 0.000)
Re (0.500, 0.500, 0.500)


The following is a DFT calculation (PBE-GGA) of a relaxed ErTm2Th crystal.

Excess energy over the best structure of this formula in the dataset = 0.11 kcal/mol of atoms
E_tot = -41.6 eV for the cell shown
Crystal system = triclinic
ρ = 9.85 g cm⁻³
Calculated formation energy = 30 meV per atom

Unit cell a=3.524 b=6.681 c=10.941 alpha=90.46 beta=90.01 gamma=105.19
Fractional coordinates of all 8 atoms:
Er (0.131, 0.261, 0.484)
Er (0.869, 0.739, 0.516)
Tm (0.252, 0.505, 0.752)
Tm (0.480, 0.960, 0.256)
Tm (0.520, 0.040, 0.744)
Tm (0.748, 0.495, 0.248)
Th (0.129, 0.256, 0.018)
Th (0.871, 0.744, 0.982)


The following is a DFT calculation (PBE-GGA) of a relaxed Pu8GaGe2 crystal.

E_tot = -129.1 eV for the cell shown
Crystal system = monoclinic
ρ = 15.19 g cm⁻³
Calculated formation energy = -197 meV per atom

Unit cell a=8.181 b=8.181 c=7.300 alpha=114.96 beta=114.96 gamma=32.68
Fractional coordinates of all 11 atoms:
Pu (0.075, 0.075, 0.312)
Pu (0.142, 0.142, 0.728)
Pu (0.339, 0.339, 0.639)
Pu (0.402, 0.402, 0.024)
Pu (0.598, 0.598, 0.976)
Pu (0.661, 0.661, 0.361)
Pu (0.858, 0.858, 0.272)
Pu (0.925, 0.925, 0.688)
Ga (0.500, 0.500, 0.500)
Ge (0.229, 0.229, 0.187)
Ge (0.771, 0.771, 0.813)


The following is a DFT calculation (PBE-GGA) of a relaxed Mg3InNi9P2 crystal.

E_tot = -72.8 eV for the cell shown
Crystal system = trigonal
ρ = 5.25 g cm⁻³
Calculated formation energy = -159 meV per atom

Unit cell a=5.578 b=5.578 c=9.136 alpha=90.00 beta=90.00 gamma=120.00
Fractional coordinates of all 15 atoms:
Mg (0.000, 0.000, 0.000)
Mg (0.333, 0.667, 0.746)
Mg (0.667, 0.333, 0.254)
In (0.000, 0.000, 0.500)
Ni (0.000, 0.500, 0.000)
Ni (0.142, 0.284, 0.258)
Ni (0.142, 0.858, 0.258)
Ni (0.284, 0.142, 0.742)
Ni (0.500, 0.000, 0.000)
Ni (0.500, 0.500, 0.000)
Ni (0.716, 0.858, 0.258)
Ni (0.858, 0.142, 0.742)
Ni (0.858, 0.716, 0.742)
P (0.333, 0.667, 0.157)
P (0.667, 0.333, 0.843)


The following is a DFT calculation (PBE-GGA) of a relaxed Cd2MoIr crystal.

Excess energy over the best structure of this formula in the dataset = 0.00 kcal/mol of atoms
E_tot = -21.5 eV for the cell shown
Crystal system = tetragonal
ρ = 11.88 g cm⁻³
Calculated formation energy = 15 meV per atom

Unit cell a=2.921 b=2.921 c=8.402 alpha=90.00 beta=90.00 gamma=90.00
Fractional coordinates of all 4 atoms:
Cd (0.000, 0.000, 0.000)
Cd (0.500, 0.500, 0.293)
Mo (0.500, 0.500, 0.739)
Ir (0.000, 0.000, 0.544)


The following is a DFT calculation (PBE-GGA) of a relaxed ZnGa4Ag5 crystal.

Excess energy over the best structure of this formula in the dataset = 1.23 kcal/mol of atoms
E_tot = -26.7 eV for the cell shown
Crystal system = tetragonal
ρ = 7.75 g cm⁻³
Calculated formation energy = 91 meV per atom

Unit cell a=6.573 b=6.573 c=6.573 alpha=98.99 beta=98.99 gamma=133.44
Fractional coordinates of all 10 atoms:
Zn (0.000, 0.000, 0.000)
Ga (0.063, 0.786, 0.382)
Ga (0.404, 0.680, 0.618)
Ga (0.680, 0.063, 0.277)
Ga (0.786, 0.404, 0.723)
Ag (0.089, 0.479, 0.104)
Ag (0.375, 0.986, 0.896)
Ag (0.479, 0.375, 0.390)
Ag (0.516, 0.516, 0.000)
Ag (0.986, 0.089, 0.610)